No. 1
Computed, not measured: a relaxed structure of MgAg2W at the GGA-PBE level of DFT.

a = 4.137 Å, b = 4.137 Å, c = 8.231 Å
α = 90.00°, β = 90.00°, γ = 90.00°
Fractional coordinates of all 8 atoms:
Mg 0.000 0.000 0.000
Mg 0.500 0.500 0.500
Ag 0.000 0.000 0.500
Ag 0.000 0.500 0.250
Ag 0.500 0.000 0.750
Ag 0.500 0.500 0.000
W 0.000 0.500 0.750
W 0.500 0.000 0.250

Properties
- SG = I-4m2 (119)
- E_form (eV/atom) = 0.716

=====

No. 2
Computed, not measured: a relaxed structure of V2Ni4Ir at the GGA-PBE level of DFT.

a = 4.618 Å, b = 6.270 Å, c = 6.329 Å
α = 88.17°, β = 69.78°, γ = 83.09°
Fractional coordinates of all 14 atoms:
V 0.000 0.000 0.000
V 0.156 0.532 0.854
V 0.370 0.560 0.420
V 0.534 0.724 0.982
Ni 0.165 0.361 0.200
Ni 0.357 0.974 0.269
Ni 0.446 0.842 0.640
Ni 0.528 0.144 0.866
Ni 0.722 0.367 0.074
Ni 0.747 0.491 0.631
Ni 0.885 0.721 0.273
Ni 0.946 0.839 0.646
Ir 0.151 0.206 0.634
Ir 0.753 0.136 0.409

Properties
- SG = P1 (1)
- ΔE to the lowest computed polymorph (eV/f.u.) = 0.00
- E_form (eV/atom) = -0.135

=====

> Among the records above, which one has the lowest E_form?

V2Ni4Ir

=====

Please write out number 2 again, unchanged.
Computed, not measured: a relaxed structure of V2Ni4Ir at the GGA-PBE level of DFT.

a = 4.618 Å, b = 6.270 Å, c = 6.329 Å
α = 88.17°, β = 69.78°, γ = 83.09°
Fractional coordinates of all 14 atoms:
V 0.000 0.000 0.000
V 0.156 0.532 0.854
V 0.370 0.560 0.420
V 0.534 0.724 0.982
Ni 0.165 0.361 0.200
Ni 0.357 0.974 0.269
Ni 0.446 0.842 0.640
Ni 0.528 0.144 0.866
Ni 0.722 0.367 0.074
Ni 0.747 0.491 0.631
Ni 0.885 0.721 0.273
Ni 0.946 0.839 0.646
Ir 0.151 0.206 0.634
Ir 0.753 0.136 0.409

Properties
- SG = P1 (1)
- ΔE to the lowest computed polymorph (eV/f.u.) = 0.00
- E_form (eV/atom) = -0.135

=====

> Which formula does entry 2 have?

V2Ni4Ir